(1)
The following is a DFT calculation (PBE-GGA) of crystalline CdMoPt6 at its relaxed geometry.

a b c (Å): 4.0016 4.0016 8.0024
angles (deg): 90.00 90.00 90.00
Last column: nearest neighbours and their distance in Å.
Element x y z (fractional)
Cd  0.0000  0.0000  0.0000  12 Pt 2.83-2.90
Mo  0.0000  0.0000  0.5000  12 Pt 2.76-2.83
Pt  0.0000  0.5000  0.2628  2 Mo 2.76, 8 Pt 2.76-2.90, 2 Cd 2.90
Pt  0.0000  0.5000  0.7372  2 Mo 2.76, 8 Pt 2.76-2.90, 2 Cd 2.90
Pt  0.5000  0.0000  0.2628  2 Mo 2.76, 8 Pt 2.76-2.90, 2 Cd 2.90
Pt  0.5000  0.0000  0.7372  2 Mo 2.76, 8 Pt 2.76-2.90, 2 Cd 2.90
Pt  0.5000  0.5000  0.0000  4 Cd 2.83, 8 Pt 2.90
Pt  0.5000  0.5000  0.5000  8 Pt 2.76, 4 Mo 2.83

formation enthalpy at 0 K: -2.18 eV per formula unit
SG: P4/mmm, No. 123

=====

(2)
The following is a DFT calculation (PBE-GGA) of crystalline PuCdMo at its relaxed geometry.

a b c (Å): 4.5812 4.5812 4.5812
angles (deg): 60.00 60.00 60.00
Last column: nearest neighbours and their distance in Å.
Element x y z (fractional)
Pu  0.0000  0.0000  0.0000  4 Cd 2.81, 4 Mo 2.81
Cd  0.7500  0.7500  0.7500  4 Pu 2.81
Mo  0.2500  0.2500  0.2500  4 Pu 2.81

ΔE to the lowest computed polymorph: 0.5052 eV per atom
formation enthalpy at 0 K: 3.66 eV per formula unit
SG: F-43m, No. 216

=====

(3)
The following is a DFT calculation (PBE-GGA) of crystalline PuCdMo at its relaxed geometry.

a b c (Å): 4.6203 4.6203 4.6203
angles (deg): 60.00 60.00 60.00
Last column: nearest neighbours and their distance in Å.
Element x y z (fractional)
Pu  0.0000  0.0000  0.0000  4 Mo 2.83
Cd  0.5000  0.5000  0.5000  4 Mo 2.83
Mo  0.7500  0.7500  0.7500  4 Cd 2.83, 4 Pu 2.83

ΔE to the lowest computed polymorph: 0.0000 eV per atom
formation enthalpy at 0 K: 2.14 eV per formula unit
SG: F-43m, No. 216

=====

(4)
The following is a DFT calculation (PBE-GGA) of crystalline Cd2ReMo at its relaxed geometry.

a b c (Å): 4.6070 4.6070 4.6070
angles (deg): 60.00 60.00 60.00
Last column: nearest neighbours and their distance in Å.
Element x y z (fractional)
Cd  0.0000  0.0000  0.0000  4 Cd 2.82, 4 Mo 2.82
Cd  0.2500  0.2500  0.2500  4 Re 2.82, 4 Cd 2.82
Re  0.5000  0.5000  0.5000  4 Mo 2.82, 4 Cd 2.82
Mo  0.7500  0.7500  0.7500  4 Cd 2.82, 4 Re 2.82

formation enthalpy at 0 K: 2.47 eV per formula unit
SG: F-43m, No. 216

=====

(5)
The following is a DFT calculation (PBE-GGA) of crystalline CdSb2Mo at its relaxed geometry.

a b c (Å): 5.0223 5.0223 5.0223
angles (deg): 60.00 60.00 60.00
Last column: nearest neighbours and their distance in Å.
Element x y z (fractional)
Cd  0.0000  0.0000  0.0000  4 Mo 3.08, 4 Sb 3.08
Sb  0.2500  0.2500  0.2500  4 Sb 3.08, 4 Cd 3.08
Sb  0.5000  0.5000  0.5000  4 Mo 3.08, 4 Sb 3.08
Mo  0.7500  0.7500  0.7500  4 Sb 3.08, 4 Cd 3.08

SG: F-43m, No. 216

=====

(6)
The following is a DFT calculation (PBE-GGA) of crystalline CdSiMo at its relaxed geometry.

a b c (Å): 4.2417 4.2417 4.2417
angles (deg): 60.00 60.00 60.00
Last column: nearest neighbours and their distance in Å.
Element x y z (fractional)
Cd  0.0000  0.0000  0.0000  4 Si 2.60
Si  0.2500  0.2500  0.2500  4 Mo 2.60, 4 Cd 2.60
Mo  0.5000  0.5000  0.5000  4 Si 2.60

ΔE to the lowest computed polymorph: 0.0000 eV per atom
SG: F-43m, No. 216

=====

(7)
The following is a DFT calculation (PBE-GGA) of crystalline CdSi2Mo at its relaxed geometry.

a b c (Å): 4.5268 4.5268 4.5268
angles (deg): 60.00 60.00 60.00
Last column: nearest neighbours and their distance in Å.
Element x y z (fractional)
Cd  0.0000  0.0000  0.0000  4 Mo 2.77, 4 Si 2.77
Si  0.2500  0.2500  0.2500  4 Si 2.77, 4 Cd 2.77
Si  0.5000  0.5000  0.5000  4 Mo 2.77, 4 Si 2.77
Mo  0.7500  0.7500  0.7500  4 Si 2.77, 4 Cd 2.77

SG: F-43m, No. 216

=====

(8)
The following is a DFT calculation (PBE-GGA) of crystalline SmCdMo at its relaxed geometry.

a b c (Å): 4.8410 4.8410 4.8410
angles (deg): 60.00 60.00 60.00
Last column: nearest neighbours and their distance in Å.
Element x y z (fractional)
Sm  0.0000  0.0000  0.0000  4 Mo 2.96
Cd  0.5000  0.5000  0.5000  4 Mo 2.96
Mo  0.7500  0.7500  0.7500  4 Sm 2.96, 4 Cd 2.96

ΔE to the lowest computed polymorph: 0.0000 eV per atom
formation enthalpy at 0 K: 2.45 eV per formula unit
SG: F-43m, No. 216

=====

no.,raw total energy (eV/atom),total moment (μB per atom)
1,-6.282,0.04
2,-7.404,1.20
3,-7.910,1.28
4,-5.648,0.00
5,-4.276,0.48
6,-5.270,0.01
7,-4.905,0.00
8,-4.669,0.99